A plane-wave DFT calculation with PBE-GGA was carried out for a relaxed structure of Ba2SrBiS.

The calculation puts the magnetization at 0.000 Bohr magnetons per cell. As for the uncorrected formation energy: -1.11 eV per atom. The crystal system is tetragonal.

Cell lengths 6.0451, 6.0451, 5.6848 Å; angles 90.00, 90.00, 90.00 degrees
Positions (direct):
Ba 0.0000 0.5000 0.0000
Ba 0.5000 0.0000 0.0000
Sr 0.0000 0.0000 0.5000
Bi 0.5000 0.5000 0.5000
S 0.0000 0.0000 0.0000